A plane-wave DFT calculation with PBE was carried out for an optimized crystal structure of MgSc2Ag.

The final energy is -4.070 eV/atom. The value obtained for the total magnetization is 0.0 μB per cell. Its calculated formation energy is 0.207 eV per atom. As for the density of states at the Fermi level: 1.155 states/eV per atom. As for the space-group type: No. 166.

abc: 11.1583 11.1583 11.1583
angles: 16.05 16.05 16.05
With the nearest neighbours (Å) after each atom.
Sites, in units of the cell vectors:
Sc1 0.9066 0.9066 0.9066  3 Ag 3.02, 1 Mg 3.09, 6 Sc 3.12
Sc2 0.0934 0.0934 0.0934  3 Ag 3.02, 1 Mg 3.09, 6 Sc 3.12
Mg1 0.0000 0.0000 0.0000  2 Sc 3.09, 6 Mg 3.12
Ag1 0.5000 0.5000 0.5000  6 Sc 3.02, 6 Ag 3.12